(1)
Here is a relaxed PuP3 crystal from Alexandria via LeMat-Bulk. Energies are from PBE.

Calculated values
Formation energy from the elements, eV per formula unit: -0.81

Lattice parameters (Å, degrees): 3.8654 3.8654 10.4361 90.00 90.00 90.00
With the nearest neighbours (Å) after each atom.
Space group I4/mmm (No. 139)
Unique sites:
Pu (0.0000, 0.0000, 0.0000)  6 P 2.73-2.83
P (0.0000, 0.0000, 0.2714)  1 P 2.39
P (0.0000, 0.0000, 0.5000)  2 P 2.39

---

(2)
Here is a relaxed SiHgIN2 crystal from Alexandria via LeMat-Bulk. Energies are from PBE.

Calculated values
E_form (uncorrected), meV/atom: 2030
Energy above the most stable polymorph in this dataset, meV per atom: 1059

Lattice parameters (Å, degrees): 4.2825 4.2825 7.1232 90.00 90.00 90.00
With the nearest neighbours (Å) after each atom.
Space group P4/mmm (No. 123)
Unique sites:
Si (0.0000, 0.0000, 0.0000)  4 I 3.03
Hg (0.5000, 0.5000, 0.5000)  4 N 2.14
I (0.5000, 0.5000, 0.0000)  4 Si 3.03
N (0.0000, 0.5000, 0.5000)  2 Hg 2.14

---

(3)
Here is a relaxed Tb2Be3GaNi12 crystal from Alexandria via LeMat-Bulk. Energies are from PBE.

Calculated values
Formation energy from the elements, eV per formula unit: 2.98

Lattice parameters (Å, degrees): 7.3793 7.3793 16.1611 90.00 90.00 120.00
With the nearest neighbours (Å) after each atom.
Space group R-3m (No. 166, hexagonal axes)
Unique sites:
Tb (0.0000, 0.0000, 0.1044)  6 Ni 2.61-2.67
Be (0.0000, 0.5000, 0.0000)  6 Ni 2.06-2.08
Ga (0.0000, 0.0000, 0.5000)  6 Ni 2.32
Ni (0.0156, 0.5078, 0.8727)  1 Be 2.06
Ni (0.0413, 0.5207, 0.3652)  2 Be 2.08

---

(4)
Here is a relaxed ScAlTeI2 crystal from Alexandria via LeMat-Bulk. Energies are from PBE.

Calculated values
E_form (uncorrected), meV/atom: -12
Energy above the most stable polymorph in this dataset, meV per atom: 429

Lattice parameters (Å, degrees): 5.4453 5.4453 5.5524 90.00 90.00 90.00
With the nearest neighbours (Å) after each atom.
Space group P4/mmm (No. 123)
Unique sites:
Sc (0.0000, 0.0000, 0.0000)  4 Te 3.85, 8 I 3.89
Al (0.5000, 0.5000, 0.5000)  4 I 2.72, 2 Te 2.78
Te (0.5000, 0.5000, 0.0000)  2 Al 2.78
I (0.0000, 0.5000, 0.5000)  2 Al 2.72

---

(5)
Here is a relaxed CsKHfAl2 crystal from Alexandria via LeMat-Bulk. Energies are from PBE.

Calculated values
Formation energy from the elements, eV per formula unit: 8.25

Lattice parameters (Å, degrees): 5.9287 5.9287 5.7714 90.00 90.00 90.00
With the nearest neighbours (Å) after each atom.
Space group P4/mmm (No. 123)
Unique sites:
Cs (0.0000, 0.0000, 0.0000)  8 Al 4.14, 4 Hf 4.19
K (0.5000, 0.5000, 0.5000)  2 Hf 2.89, 4 Al 2.96
Hf (0.5000, 0.5000, 0.0000)  2 K 2.89
Al (0.0000, 0.5000, 0.5000)  2 K 2.96

---

(6)
Here is a relaxed NaNiSbSe3 crystal from Alexandria via LeMat-Bulk. Energies are from PBE.

Calculated values
E_form (uncorrected), meV/atom: -450

Lattice parameters (Å, degrees): 8.8187 4.0326 8.8986 90.00 94.76 90.00
With the nearest neighbours (Å) after each atom.
Space group P2_1/m (No. 11)
Unique sites:
Na (0.1400, 0.2500, 0.2064)  7 Se 3.07-3.28, 1 Ni 3.39
Ni (0.0732, 0.2500, 0.5756)  4 Se 2.32-2.43
Sb (0.3575, 0.7500, 0.8476)  3 Se 2.62-2.81
Se (0.1352, 0.2500, 0.8465)  1 Ni 2.43
Se (0.1852, 0.7500, 0.4981)  3 Ni 2.32-2.37
Se (0.3889, 0.7500, 0.1435)  1 Sb 2.62

---

Question: What is the formula in the third record?
Answer: Tb2Be3GaNi12